# DyOsO6 GGA-PBE relaxed
# **Final energy**: -7.0895 eV per atom
# **Size of the total moment**: 0.00 μB/f.u.
data_DyOsO6
_cell_length_a 5.683
_cell_length_b 6.740
_cell_length_c 4.872
_cell_angle_alpha 90.00
_cell_angle_beta 99.49
_cell_angle_gamma 90.00
_space_group_name_H-M_alt 'C 1 2/m 1'
_space_group_IT_number 12
loop_
_space_group_symop_operation_xyz
'x,y,z'
'-x,-y,-z'
'-x,y,-z'
'x,-y,z'
'x+1/2,y+1/2,z'
'-x+1/2,-y+1/2,-z'
'-x+1/2,y+1/2,-z'
'x+1/2,-y+1/2,z'
loop_
_atom_site_label
_atom_site_type_symbol
_atom_site_fract_x
_atom_site_fract_y
_atom_site_fract_z
_atom_site_occupancy
Dy1 Dy 0.000 0.000 0.000 1
Os1 Os 0.000 0.500 0.500 1
O1 O 0.128 0.312 0.769 1
O2 O 0.217 0.000 0.641 1